[1]
SrPuNp after structural relaxation, computed with PBE-GGA.

Cell lengths 7.589, 7.589, 7.589 Å; angles 90.00, 90.00, 90.00 degrees
Space group F-43m (No. 216)
Inequivalent atoms, fractional coordinates:
Sr1 0.000 0.000 0.000 [4 per cell]
Pu1 0.250 0.250 0.750 [4 per cell]
Np1 0.000 0.000 0.500 [4 per cell]

Computed properties:
total magnetic moment: 12.37 μB per formula unit
E: -99.785 eV for the cell shown

[2]
TmScIn4 after structural relaxation, computed with PBE-GGA.

Cell lengths 4.566, 4.533, 13.906 Å; angles 90.00, 90.00, 90.00 degrees
Space group Amm2 (No. 38)
Inequivalent atoms, fractional coordinates:
Tm1 0.000 0.000 0.000 [2 per cell]
Sc1 0.000 0.000 0.688 [2 per cell]
In1 0.000 0.000 0.340 [2 per cell]
In2 0.500 0.000 0.169 [2 per cell]
In3 0.500 0.000 0.521 [2 per cell]
In4 0.500 0.000 0.841 [2 per cell]

Computed properties:
total magnetic moment: 0.01 μB per formula unit
E: -48.065 eV for the cell shown

[3]
TaCoNiAs after structural relaxation, computed with PBE-GGA.

Cell lengths 6.010, 6.010, 6.010 Å; angles 90.00, 90.00, 90.00 degrees
Space group F-43m (No. 216)
Inequivalent atoms, fractional coordinates:
Ta1 0.000 0.000 0.000 [4 per cell]
Co1 0.000 0.000 0.500 [4 per cell]
Ni1 0.250 0.250 0.750 [4 per cell]
As1 0.250 0.250 0.250 [4 per cell]

Computed properties:
polymorph energy (0 for the lowest one): 0 meV/atom
total magnetic moment: 0.71 μB per formula unit
E: -117.324 eV for the cell shown

[4]
SrTl2Pd2 after structural relaxation, computed with PBE-GGA.

Cell lengths 4.599, 4.599, 11.948 Å; angles 90.00, 90.00, 90.00 degrees
Space group I4/mmm (No. 139)
Inequivalent atoms, fractional coordinates:
Sr1 0.000 0.000 0.000 [2 per cell]
Tl1 0.000 0.500 0.250 [4 per cell]
Pd1 0.000 0.000 0.390 [4 per cell]

Computed properties:
E: -37.265 eV for the cell shown

[5]
NbI2Br3 after structural relaxation, computed with PBE-GGA.

Cell lengths 6.932, 7.528, 10.180 Å; angles 108.31, 91.51, 114.58 degrees
Space group P-1 (No. 2)
Inequivalent atoms, fractional coordinates:
Nb1 0.103 0.213 0.211 [2 per cell]
I1 0.082 0.816 0.565 [2 per cell]
I2 0.453 0.577 0.324 [2 per cell]
Br1 0.118 0.633 0.861 [2 per cell]
Br2 0.227 0.169 0.955 [2 per cell]
Br3 0.292 0.003 0.241 [2 per cell]

Computed properties:
polymorph energy (0 for the lowest one): 4 meV/atom
total magnetic moment: 0.01 μB per formula unit
E: -44.347 eV for the cell shown

[6]
CsFe3Sb5 after structural relaxation, computed with PBE-GGA.

Cell lengths 5.4209, 5.4209, 9.6078 Å; angles 90.00, 90.00, 120.00 degrees
Space group P6/mmm (No. 191)
Inequivalent atoms, fractional coordinates:
Cs1 0.0000 0.0000 0.0000 [1 per cell]
Fe1 0.0000 0.5000 0.5000 [3 per cell]
Sb1 0.0000 0.0000 0.5000 [1 per cell]
Sb2 0.3333 0.6667 0.2737 [4 per cell]

Computed properties:
total magnetic moment: 6.59 μB per formula unit
E: -47.353 eV for the cell shown

[7]
GdMgZn after structural relaxation, computed with PBE-GGA.

Cell lengths 6.246, 6.608, 15.490 Å; angles 91.61, 92.09, 118.01 degrees
Space group P1 (No. 1)
Inequivalent atoms, fractional coordinates:
Gd1 0.000 0.000 0.000 [1 per cell]
Gd2 0.005 0.047 0.225 [1 per cell]
Gd3 0.300 0.652 0.519 [1 per cell]
Gd4 0.334 0.643 0.743 [1 per cell]
Gd5 0.427 0.882 0.115 [1 per cell]
Gd6 0.734 0.234 0.615 [1 per cell]
Gd7 0.866 0.482 0.159 [1 per cell]
Gd8 0.892 0.807 0.627 [1 per cell]
Mg1 0.302 0.152 0.456 [1 per cell]
Mg2 0.338 0.149 0.789 [1 per cell]
Mg3 0.461 0.527 0.943 [1 per cell]
Mg4 0.476 0.586 0.293 [1 per cell]
Mg5 0.548 0.130 0.305 [1 per cell]
Mg6 0.785 0.960 0.434 [1 per cell]
Mg7 0.833 0.131 0.818 [1 per cell]
Mg8 0.848 0.613 0.822 [1 per cell]
Zn1 0.019 0.360 0.364 [1 per cell]
Zn2 0.047 0.527 0.979 [1 per cell]
Zn3 0.109 0.758 0.337 [1 per cell]
Zn4 0.286 0.278 0.624 [1 per cell]
Zn5 0.362 0.874 0.911 [1 per cell]
Zn6 0.363 0.401 0.116 [1 per cell]
Zn7 0.622 0.240 0.985 [1 per cell]
Zn8 0.765 0.532 0.451 [1 per cell]

Computed properties:
total magnetic moment: 0.00 μB per formula unit
E: -62.613 eV for the cell shown

[8]
Ho7Zn2Te2 after structural relaxation, computed with PBE-GGA.

Cell lengths 4.064, 15.384, 9.603 Å; angles 90.00, 90.00, 90.00 degrees
Space group Imm2 (No. 44)
Inequivalent atoms, fractional coordinates:
Ho1 0.000 0.000 0.000 [2 per cell]
Ho2 0.000 0.128 0.411 [4 per cell]
Ho3 0.000 0.316 0.619 [4 per cell]
Ho4 0.000 0.359 0.253 [4 per cell]
Zn1 0.000 0.236 0.920 [4 per cell]
Te1 0.000 0.000 0.659 [2 per cell]
Te2 0.000 0.500 0.762 [2 per cell]

Computed properties:
total magnetic moment: 0.00 μB per formula unit
E: -94.864 eV for the cell shown